## PaBe5Si2Tc (PBE)

Data for a relaxed PaBe5Si2Tc crystal.

Calculated values
DFT total energy, eV per cell: -45.66
Fermi-level density of states, states/eV/cell: 7.9
Energy relative to the elements, uncorrected, eV per formula unit: 3.7
M_tot, μB/f.u.: 0.00

a b c (Å): 3.9542 3.9542 8.2776
angles (deg): 90.00 90.00 90.00
Closest atoms and distances in Å follow each position.
Space group P4/mmm (No. 123)
Asymmetric unit:
1 Pa 0.0000 0.0000 0.0000  4 Be 2.80
2 Be 0.0000 0.5000 0.3592  2 Si 2.22, 2 Tc 2.30, 1 Be 2.33
3 Be 0.5000 0.5000 0.0000  2 Si 1.96
4 Si 0.5000 0.5000 0.2374  1 Be 1.96
5 Tc 0.0000 0.0000 0.5000  8 Be 2.30